DFT (GGA-PBE) results for LaPmGeRh after structural relaxation.

POSCAR file:
```
LaPmGeRh
1.0
0.0000 3.6446 3.6446
3.6446 0.0000 3.6446
3.6446 3.6446 0.0000
La Pm Ge Rh
1 1 1 1
Direct
0.0000 0.0000 0.0000 La
0.5000 0.5000 0.5000 Pm
0.2500 0.2500 0.2500 Ge
0.7500 0.7500 0.7500 Rh
```

Values from the calculation:
Crystal system: cubic
Final energy: -24.1 eV/cell
Energy of formation from the pure elements: -239 kJ/mol of formula units
Space-group type: F-43m
Density of states at the Fermi level: 3.320 states/eV/cell